Record 1
Here is PuPaSnPb after structural relaxation from the Alexandria database. Energies are from PBE.

Output
DFT formation energy: -9 kJ/mol of formula units
M_tot: 1.954 μB/atom
E: -31.64 eV/f.u.
V: 27.44 A^3/atom

a = 7.6004 Å, b = 7.6004 Å, c = 7.6004 Å
α = 90.00°, β = 90.00°, γ = 90.00°
Space group F-43m (No. 216)
Asymmetric unit:
Pu: 0.0000 0.0000 0.0000 x4
Pa: 0.0000 0.0000 0.5000 x4
Sn: 0.2500 0.2500 0.2500 x4
Pb: 0.2500 0.2500 0.7500 x4


Record 2
Here is PuPaTcPb after structural relaxation from the Alexandria database. Energies are from PBE.

Output
DFT formation energy: -46 kJ/mol of formula units
M_tot: 1.322 μB/atom
E: -38.37 eV/f.u.
V: 23.86 A^3/atom

a = 3.2894 Å, b = 3.2894 Å, c = 8.8204 Å
α = 90.00°, β = 90.00°, γ = 90.00°
Space group P4mm (No. 99)
Asymmetric unit:
Pu: 0.0000 0.0000 0.0000 x1
Pa: 0.0000 0.0000 0.5950 x1
Tc: 0.5000 0.5000 0.7855 x1
Pb: 0.5000 0.5000 0.2960 x1


Record 3
Here is PuPaTePb after structural relaxation from the Alexandria database. Energies are from PBE.

Output
M_tot: 1.736 μB/atom
Raw formation energy: -31.0 kJ per mole of atoms
E: -31.96 eV/f.u.
V: 27.28 A^3/atom

a = 7.5851 Å, b = 7.5851 Å, c = 7.5851 Å
α = 90.00°, β = 90.00°, γ = 90.00°
Space group F-43m (No. 216)
Asymmetric unit:
Pu: 0.0000 0.0000 0.0000 x4
Pa: 0.0000 0.0000 0.5000 x4
Te: 0.2500 0.2500 0.7500 x4
Pb: 0.2500 0.2500 0.2500 x4


Record 4
Here is PuPaZnPb after structural relaxation from the Alexandria database. Energies are from PBE.

Output
DFT formation energy: 56 kJ/mol of formula units
M_tot: 1.972 μB/atom
E: -28.23 eV/f.u.
V: 25.88 A^3/atom

a = 7.4538 Å, b = 7.4538 Å, c = 7.4538 Å
α = 90.00°, β = 90.00°, γ = 90.00°
Space group F-43m (No. 216)
Asymmetric unit:
Pu: 0.0000 0.0000 0.0000 x4
Pa: 0.0000 0.0000 0.5000 x4
Zn: 0.2500 0.2500 0.7500 x4
Pb: 0.2500 0.2500 0.2500 x4


Record 5
Here is RbPaPb2S5 after structural relaxation from the Alexandria database. Energies are from PBE.

Output
M_tot: 0.000 μB/atom
Raw formation energy: -99.1 kJ per mole of atoms
E: -47.76 eV/f.u.
V: 30.46 A^3/atom

a = 5.1982 Å, b = 7.4457 Å, c = 14.1645 Å
α = 90.00°, β = 90.00°, γ = 90.00°
Space group Immm (No. 71)
Asymmetric unit:
Rb: 0.0000 0.0000 0.0000 x2
Pa: 0.0000 0.0000 0.5000 x2
Pb: 0.0000 0.5000 0.2145 x4
S: 0.0000 0.2378 0.3629 x8
S: 0.0000 0.5000 0.0000 x2


Record 6
Here is Rb3PaPb2S6 after structural relaxation from the Alexandria database. Energies are from PBE.

Output
M_tot: 0.000 μB/atom
Raw formation energy: -116.5 kJ per mole of atoms
E: -59.07 eV/f.u.
V: 30.13 A^3/atom

a = 7.4282 Å, b = 12.8401 Å, c = 7.9733 Å
α = 90.00°, β = 108.05°, γ = 90.00°
Space group C2/m (No. 12)
Asymmetric unit:
Rb: 0.0000 0.0000 0.0000 x2
Rb: 0.0000 0.3251 0.0000 x4
Pa: 0.0000 0.5000 0.5000 x2
Pb: 0.0000 0.1656 0.5000 x4
S: 0.2158 0.3498 0.6971 x8
S: 0.2324 0.5000 0.3009 x4


- What is the formula in the sixth record?
  Rb3PaPb2S6